ZrPaFe2O8 (PBE with a Hubbard U, relaxed); uncorrected energy = -97.29 eV per cell
1.0
-5.4377 1.6429 -1.6012
-0.0152 -5.2562 2.6841
2.1222 4.0116 3.7730
Pa Fe O Zr
1 2 8 1
Cartesian
0.0000 0.0000 0.0000
-2.7265 -1.8066 0.5415
-3.0210 1.9239 1.3566
-3.7412 0.9575 2.7732
-1.2964 1.6124 0.7338
-4.5218 1.4186 0.3812
-4.4272 -1.4227 1.1704
-2.5246 3.7071 1.5384
0.0530 3.1486 2.8608
-1.2583 -1.3420 1.5730
-1.0289 0.4126 4.1076
-0.3097 -1.5256 3.4993